1.
ScSb2F | Alexandria via LeMat-Bulk | PBE | optimized geometry; energy relative to the lowest polymorph listed for this composition = 0.123 eV per atom; SG = Fm-3m; calculated volume = 85.1 Å³ per cell; calculated density = 6.0 Mg/m³; size of the total moment = 0.00 Bohr magnetons per cell; DOS at the Fermi energy = 0.617 states/eV per atom
1.0
0.0000 3.4915 3.4915
3.4915 0.0000 3.4915
3.4915 3.4915 0.0000
Sc Sb F
1 2 1
Direct
0.0000 0.0000 0.0000 Sc
0.2500 0.2500 0.2500 Sb
0.7500 0.7500 0.7500 Sb
0.5000 0.5000 0.5000 F

***

2.
Sn2OF | Alexandria via LeMat-Bulk | PBE | optimized geometry; energy relative to the lowest polymorph listed for this composition = 0.308 eV per atom; SG = I-42d; calculated volume = 181.0 Å³ per cell; calculated density = 5.0 Mg/m³; size of the total moment = 0.00 Bohr magnetons per cell; DOS at the Fermi energy = 0.516 states/eV per atom
1.0
-2.8439 2.8439 5.5947
2.8439 -2.8439 5.5947
2.8439 2.8439 -5.5947
Sn O F
4 2 2
Direct
0.0859 0.6250 0.9609 Sn
0.3750 0.3359 0.4609 Sn
0.6641 0.1250 0.0391 Sn
0.8750 0.9141 0.5391 Sn
0.0000 0.0000 0.0000 O
0.7500 0.2500 0.5000 O
0.2500 0.7500 0.5000 F
0.5000 0.5000 0.0000 F

***

3.
Pr2Dy4Tl | Alexandria via LeMat-Bulk | PBE | optimized geometry; SG = P2_1/m; calculated volume = 443.4 Å³ per cell; calculated density = 8.5 Mg/m³; size of the total moment = 0.00 Bohr magnetons per cell; DOS at the Fermi energy = 1.153 states/eV per atom; energy of formation from the pure elements = -0.01 eV/atom
1.0
5.8194 0.0000 0.0000
0.0000 6.7291 0.0000
-2.6872 0.0000 11.3230
Pr Dy Tl
4 8 2
Direct
0.0261 0.2500 0.4742 Pr
0.3375 0.7500 0.0738 Pr
0.6625 0.2500 0.9262 Pr
0.9739 0.7500 0.5258 Pr
0.1574 0.0082 0.7865 Dy
0.1574 0.4918 0.7865 Dy
0.2137 0.2500 0.0667 Dy
0.4027 0.7500 0.3707 Dy
0.5973 0.2500 0.6293 Dy
0.7863 0.7500 0.9333 Dy
0.8426 0.5082 0.2135 Dy
0.8426 0.9918 0.2135 Dy
0.4570 0.2500 0.3359 Tl
0.5430 0.7500 0.6641 Tl

***

4.
Ca2Pr3Tl6 | Alexandria via LeMat-Bulk | PBE | optimized geometry; SG = I4/mmm; calculated volume = 354.3 Å³ per cell; calculated density = 8.1 Mg/m³; size of the total moment = 0.00 Bohr magnetons per cell; DOS at the Fermi energy = 0.706 states/eV per atom; energy of formation from the pure elements = -0.14 eV/atom
1.0
-2.4254 2.4254 15.0568
2.4254 -2.4254 15.0568
2.4254 2.4254 -15.0568
Ca Pr Tl
2 3 6
Direct
0.0552 0.0552 0.0000 Ca
0.9448 0.9448 0.0000 Ca
0.2997 0.2997 0.0000 Pr
0.5000 0.5000 0.0000 Pr
0.7003 0.7003 0.0000 Pr
0.1189 0.6189 0.5000 Tl
0.1937 0.1937 0.0000 Tl
0.3811 0.8811 0.5000 Tl
0.6189 0.1189 0.5000 Tl
0.8063 0.8063 0.0000 Tl
0.8811 0.3811 0.5000 Tl

***

5.
Cs2RbLiBi | Alexandria via LeMat-Bulk | PBE | optimized geometry; energy relative to the lowest polymorph listed for this composition = 0.000 eV per atom; SG = P4/mmm; calculated volume = 278.9 Å³ per cell; calculated density = 3.4 Mg/m³; size of the total moment = 0.00 Bohr magnetons per cell; DOS at the Fermi energy = 0.408 states/eV per atom; energy of formation from the pure elements = -0.19 eV/atom
1.0
7.2518 0.0000 0.0000
0.0000 7.2518 0.0000
0.0000 0.0000 5.3037
Cs Rb Li Bi
2 1 1 1
Direct
0.0000 0.5000 0.0000 Cs
0.5000 0.0000 0.0000 Cs
0.0000 0.0000 0.5000 Rb
0.5000 0.5000 0.0000 Li
0.5000 0.5000 0.5000 Bi

***

6.
Li4SiMo | Alexandria via LeMat-Bulk | PBE | optimized geometry; raw total energy = -3.61 eV per atom; SG = F-43m; calculated volume = 76.9 Å³ per cell; calculated density = 3.3 Mg/m³; size of the total moment = 0.00 Bohr magnetons per cell; DOS at the Fermi energy = 0.472 states/eV per atom
1.0
0.0000 3.3755 3.3755
3.3755 0.0000 3.3755
3.3755 3.3755 0.0000
Li Si Mo
4 1 1
Direct
0.3760 0.3760 0.3760 Li
0.3760 0.3760 0.8721 Li
0.3760 0.8721 0.3760 Li
0.8721 0.3760 0.3760 Li
0.7500 0.7500 0.7500 Si
0.0000 0.0000 0.0000 Mo

***

7.
Zr2GeC2 | Alexandria via LeMat-Bulk | PBE | optimized geometry; energy relative to the lowest polymorph listed for this composition = 0.299 eV per atom; SG = P4/mbm; calculated volume = 145.8 Å³ per cell; calculated density = 6.4 Mg/m³; size of the total moment = 0.00 Bohr magnetons per cell; DOS at the Fermi energy = 0.649 states/eV per atom; energy of formation from the pure elements = 0.46 eV/atom
1.0
6.8092 0.0000 0.0000
0.0000 6.8092 0.0000
0.0000 0.0000 3.1442
Zr Ge C
4 2 4
Direct
0.1548 0.3452 0.0000 Zr
0.3452 0.8452 0.0000 Zr
0.6548 0.1548 0.0000 Zr
0.8452 0.6548 0.0000 Zr
0.0000 0.0000 0.0000 Ge
0.5000 0.5000 0.0000 Ge
0.1637 0.6637 0.5000 C
0.3363 0.1637 0.5000 C
0.6637 0.8363 0.5000 C
0.8363 0.3363 0.5000 C

***

8.
RbLiOsO4 | Alexandria via LeMat-Bulk | PBE | optimized geometry; raw total energy = -6.24 eV per atom; SG = I-4; calculated volume = 142.6 Å³ per cell; calculated density = 4.0 Mg/m³; size of the total moment = 0.00 Bohr magnetons per cell
1.0
-3.0699 3.0699 3.7832
3.0699 -3.0699 3.7832
3.0699 3.0699 -3.7832
Rb Li Os O
1 1 1 4
Direct
0.0000 0.0000 0.0000 Rb
0.5000 0.5000 0.0000 Li
0.2500 0.7500 0.5000 Os
0.2381 0.5709 0.1479 O
0.4229 0.0901 0.8521 O
0.4291 0.5771 0.6672 O
0.9099 0.7619 0.3328 O

***

9.
NaCu2PdF6 | Alexandria via LeMat-Bulk | PBE | optimized geometry; raw total energy = -4.13 eV per atom; SG = C2/c; calculated volume = 274.2 Å³ per cell; calculated density = 4.5 Mg/m³; size of the total moment = 6.02 Bohr magnetons per cell; DOS at the Fermi energy = 0.277 states/eV per atom
1.0
4.4684 -5.0958 0.0000
4.4684 5.0958 0.0000
-1.0676 0.0000 6.0211
Na Cu Pd F
2 4 2 12
Direct
0.0773 0.9227 0.7500 Na
0.9227 0.0773 0.2500 Na
0.2445 0.4664 0.6800 Cu
0.4664 0.2445 0.1800 Cu
0.5336 0.7555 0.8200 Cu
0.7555 0.5336 0.3200 Cu
0.2653 0.7347 0.2500 Pd
0.7347 0.2653 0.7500 Pd
0.0238 0.2286 0.6205 F
0.1422 0.6279 0.9022 F
0.2286 0.0238 0.1205 F
0.3012 0.4387 0.3759 F
0.3721 0.8578 0.5978 F
0.4387 0.3012 0.8759 F
0.5613 0.6988 0.1241 F
0.6279 0.1422 0.4022 F
0.6988 0.5613 0.6241 F
0.7714 0.9762 0.8795 F
0.8578 0.3721 0.0978 F
0.9762 0.7714 0.3795 F

***

10.
AcGdSiNi | Alexandria via LeMat-Bulk | PBE | optimized geometry; raw total energy = -7.65 eV per atom; SG = F-43m; calculated volume = 96.9 Å³ per cell; calculated density = 8.1 Mg/m³; size of the total moment = 7.08 Bohr magnetons per cell; DOS at the Fermi energy = 0.707 states/eV per atom
1.0
0.0000 3.6450 3.6450
3.6450 0.0000 3.6450
3.6450 3.6450 0.0000
Ac Gd Si Ni
1 1 1 1
Direct
0.0000 0.0000 0.0000 Ac
0.5000 0.5000 0.5000 Gd
0.7500 0.7500 0.7500 Si
0.2500 0.2500 0.2500 Ni